This record from Alexandria via LeMat-Bulk describes a PBEsol-optimized structure of SrMg2Cu. The functional is meta-GGA SCAN.

As for the calculated volume: 24.0 A^3/atom. For the formation energy from the elements, the calculation gives 0.04 eV/atom. The value obtained for the spin magnetization is 0.00 μB/cell. For the density, the calculation gives 3.5 Mg/m³. The uncorrected energy comes out at -11.8179 eV per atom.

The structure belongs to space group Immm (No. 71); the cell edges are 3.373, 5.338 and 10.647 Å and the angles 90.00°, 90.00° and 90.00°. Symmetry generates all atoms from Sr at (0.000, 0.000, 0.000), Mg at (0.000, 0.500, 0.201) and Cu at (0.000, 0.000, 0.500).